A plane-wave DFT calculation with PBE was carried out for a relaxed structure of SrAlSi2Ir.

Computed properties:
For the total magnetization, the calculation gives 0.0 μB per cell. The calculation puts the formation energy (no corrections) at -2.9 eV per formula unit. Its total DFT energy (no corrections) is -28.03 eV for the cell shown. The space group is I-4m2.

Cell lengths 6.140, 6.140, 6.140 Å; angles 141.00, 141.00, 56.34 degrees
Fractional positions:
Sr 0.000 0.000 0.000
Al 0.750 0.250 0.500
Si 0.383 0.383 0.000
Si 0.617 0.617 0.000
Ir 0.250 0.750 0.500

---

A plane-wave DFT calculation with PBE was carried out for a relaxed structure of SrAlSiIr.

Computed properties:
For the total magnetization, the calculation gives 0.0 μB per cell. The calculation puts the formation energy (no corrections) at -2.4 eV per formula unit. Its total DFT energy (no corrections) is -22.09 eV for the cell shown. The space group is R3m.

Cell lengths 6.116, 6.116, 6.116 Å; angles 41.05, 41.05, 41.05 degrees
Fractional positions:
Sr 0.000 0.000 0.000
Al 0.530 0.530 0.530
Si 0.809 0.809 0.809
Ir 0.181 0.181 0.181

---

A plane-wave DFT calculation with PBE was carried out for a relaxed structure of Tb2AlSi2Ir5.

Computed properties:
For the total magnetization, the calculation gives 0.0 μB per cell. The calculation puts the formation energy (no corrections) at -8.8 eV per formula unit. Its total DFT energy (no corrections) is -153.86 eV for the cell shown. The space group is P4/mbm.

Cell lengths 9.687, 9.687, 3.509 Å; angles 90.00, 90.00, 90.00 degrees
Fractional positions:
Tb 0.175 0.325 0.000
Tb 0.325 0.825 0.000
Tb 0.675 0.175 0.000
Tb 0.825 0.675 0.000
Al 0.000 0.000 0.000
Al 0.500 0.500 0.000
Si 0.124 0.624 0.000
Si 0.376 0.124 0.000
Si 0.624 0.876 0.000
Si 0.876 0.376 0.000
Ir 0.000 0.500 0.500
Ir 0.066 0.790 0.500
Ir 0.210 0.066 0.500
Ir 0.290 0.566 0.500
Ir 0.434 0.290 0.500
Ir 0.500 0.000 0.500
Ir 0.566 0.710 0.500
Ir 0.710 0.434 0.500
Ir 0.790 0.934 0.500
Ir 0.934 0.210 0.500

---

A plane-wave DFT calculation with PBE was carried out for a relaxed structure of Tb2AlSi4Ir3.

Computed properties:
For the total magnetization, the calculation gives 0.0 μB per cell. The calculation puts the formation energy (no corrections) at -9.2 eV per formula unit. Its total DFT energy (no corrections) is -70.53 eV for the cell shown. The space group is P-4m2.

Cell lengths 4.085, 4.085, 10.268 Å; angles 90.00, 90.00, 90.00 degrees
Fractional positions:
Tb 0.000 0.500 0.243
Tb 0.500 0.000 0.757
Al 0.000 0.000 0.500
Si 0.000 0.000 0.000
Si 0.000 0.500 0.645
Si 0.500 0.000 0.355
Si 0.500 0.500 0.000
Ir 0.000 0.500 0.876
Ir 0.500 0.000 0.124
Ir 0.500 0.500 0.500

---

A plane-wave DFT calculation with PBE was carried out for a relaxed structure of Tb2AlSi3Ir4.

Computed properties:
For the total magnetization, the calculation gives 0.0 μB per cell. The calculation puts the formation energy (no corrections) at -10.4 eV per formula unit. Its total DFT energy (no corrections) is -75.16 eV for the cell shown. The space group is P-4m2.

Cell lengths 4.123, 4.123, 10.067 Å; angles 90.00, 90.00, 90.00 degrees
Fractional positions:
Tb 0.000 0.500 0.249
Tb 0.500 0.000 0.751
Al 0.000 0.000 0.500
Si 0.000 0.500 0.871
Si 0.500 0.000 0.129
Si 0.500 0.500 0.500
Ir 0.000 0.000 0.000
Ir 0.000 0.500 0.636
Ir 0.500 0.000 0.364
Ir 0.500 0.500 0.000

---

A plane-wave DFT calculation with PBE was carried out for a relaxed structure of ThAl2SiIr2.

Computed properties:
For the total magnetization, the calculation gives 0.0 μB per cell. The calculation puts the formation energy (no corrections) at -2.5 eV per formula unit. Its total DFT energy (no corrections) is -40.59 eV for the cell shown. The space group is P4/mmm.

Cell lengths 4.544, 4.544, 5.627 Å; angles 90.00, 90.00, 90.00 degrees
Fractional positions:
Th 0.000 0.000 0.000
Al 0.500 0.500 0.243
Al 0.500 0.500 0.757
Si 0.000 0.000 0.500
Ir 0.000 0.500 0.500
Ir 0.500 0.000 0.500

---

A plane-wave DFT calculation with PBE was carried out for a relaxed structure of Th2AlSi4Ir3.

Computed properties:
For the total magnetization, the calculation gives 0.0 μB per cell. The calculation puts the formation energy (no corrections) at -9.7 eV per formula unit. Its total DFT energy (no corrections) is -76.57 eV for the cell shown. The space group is P-4m2.

Cell lengths 4.178, 4.178, 10.187 Å; angles 90.00, 90.00, 90.00 degrees
Fractional positions:
Th 0.000 0.500 0.244
Th 0.500 0.000 0.756
Al 0.000 0.000 0.500
Si 0.000 0.000 0.000
Si 0.000 0.500 0.641
Si 0.500 0.000 0.359
Si 0.500 0.500 0.000
Ir 0.000 0.500 0.877
Ir 0.500 0.000 0.123
Ir 0.500 0.500 0.500

---

A plane-wave DFT calculation with PBE was carried out for a relaxed structure of Th2AlSi3Ir4.

Computed properties:
For the total magnetization, the calculation gives 0.0 μB per cell. The calculation puts the formation energy (no corrections) at -10.7 eV per formula unit. Its total DFT energy (no corrections) is -80.98 eV for the cell shown. The space group is P-4m2.

Cell lengths 4.169, 4.169, 10.213 Å; angles 90.00, 90.00, 90.00 degrees
Fractional positions:
Th 0.000 0.500 0.248
Th 0.500 0.000 0.752
Al 0.500 0.500 0.000
Si 0.000 0.000 0.000
Si 0.000 0.500 0.628
Si 0.500 0.000 0.372
Ir 0.000 0.000 0.500
Ir 0.000 0.500 0.863
Ir 0.500 0.000 0.137
Ir 0.500 0.500 0.500

---

A plane-wave DFT calculation with PBE was carried out for a relaxed structure of ThAlSi2Ir5.

Computed properties:
For the total magnetization, the calculation gives 0.0 μB per cell. The calculation puts the formation energy (no corrections) at -5.1 eV per formula unit. Its total DFT energy (no corrections) is -71.46 eV for the cell shown. The space group is P4/mmm.

Cell lengths 4.086, 4.086, 9.904 Å; angles 90.00, 90.00, 90.00 degrees
Fractional positions:
Th 0.000 0.000 0.000
Al 0.000 0.000 0.500
Si 0.500 0.500 0.236
Si 0.500 0.500 0.764
Ir 0.000 0.500 0.350
Ir 0.000 0.500 0.650
Ir 0.500 0.000 0.350
Ir 0.500 0.000 0.650
Ir 0.500 0.500 0.000

---

A plane-wave DFT calculation with PBE was carried out for a relaxed structure of Th2Al2Si4Ir.

Computed properties:
For the total magnetization, the calculation gives 0.0 μB per cell. The calculation puts the formation energy (no corrections) at -4.9 eV per formula unit. Its total DFT energy (no corrections) is -57.77 eV for the cell shown. The space group is I4/mmm.

Cell lengths 6.135, 6.135, 6.135 Å; angles 118.36, 118.36, 92.87 degrees
Fractional positions:
Th 0.250 0.750 0.500
Th 0.750 0.250 0.500
Al 0.202 0.202 0.000
Al 0.798 0.798 0.000
Si 0.221 0.221 0.442
Si 0.221 0.779 0.000
Si 0.779 0.221 0.000
Si 0.779 0.779 0.558
Ir 0.500 0.500 0.000

---

A plane-wave DFT calculation with PBE was carried out for a relaxed structure of TiAlSiIr2.

Computed properties:
For the total magnetization, the calculation gives 0.0 μB per cell. The calculation puts the formation energy (no corrections) at 5.6 eV per formula unit. Its total DFT energy (no corrections) is -29.19 eV for the cell shown. The space group is P4/mmm.

Cell lengths 4.588, 4.588, 4.783 Å; angles 90.00, 90.00, 90.00 degrees
Fractional positions:
Ti 0.000 0.000 0.000
Al 0.000 0.000 0.500
Si 0.500 0.500 0.500
Ir 0.000 0.500 0.000
Ir 0.500 0.000 0.000

---

A plane-wave DFT calculation with PBE was carried out for a relaxed structure of Tm2AlSi3Ir4.

Computed properties:
For the total magnetization, the calculation gives 0.0 μB per cell. The calculation puts the formation energy (no corrections) at -10.3 eV per formula unit. Its total DFT energy (no corrections) is -74.73 eV for the cell shown. The space group is P-4m2.

Cell lengths 4.085, 4.085, 10.088 Å; angles 90.00, 90.00, 90.00 degrees
Fractional positions:
Tm 0.000 0.500 0.248
Tm 0.500 0.000 0.752
Al 0.000 0.000 0.500
Si 0.000 0.500 0.871
Si 0.500 0.000 0.129
Si 0.500 0.500 0.500
Ir 0.000 0.000 0.000
Ir 0.000 0.500 0.638
Ir 0.500 0.000 0.362
Ir 0.500 0.500 0.000

---

A plane-wave DFT calculation with PBE was carried out for a relaxed structure of Tm2AlSi2Ir5.

Computed properties:
For the total magnetization, the calculation gives 0.0 μB per cell. The calculation puts the formation energy (no corrections) at -9.3 eV per formula unit. Its total DFT energy (no corrections) is -154.30 eV for the cell shown. The space group is P4/mbm.

Cell lengths 9.597, 9.597, 3.497 Å; angles 90.00, 90.00, 90.00 degrees
Fractional positions:
Tm 0.174 0.326 0.000
Tm 0.326 0.826 0.000
Tm 0.674 0.174 0.000
Tm 0.826 0.674 0.000
Al 0.000 0.000 0.000
Al 0.500 0.500 0.000
Si 0.125 0.625 0.000
Si 0.375 0.125 0.000
Si 0.625 0.875 0.000
Si 0.875 0.375 0.000
Ir 0.000 0.500 0.500
Ir 0.067 0.791 0.500
Ir 0.209 0.067 0.500
Ir 0.291 0.567 0.500
Ir 0.433 0.291 0.500
Ir 0.500 0.000 0.500
Ir 0.567 0.709 0.500
Ir 0.709 0.433 0.500
Ir 0.791 0.933 0.500
Ir 0.933 0.209 0.500

---

A plane-wave DFT calculation with PBE was carried out for a relaxed structure of TmAlSiIr2.

Computed properties:
For the total magnetization, the calculation gives 0.0 μB per cell. The calculation puts the formation energy (no corrections) at -3.4 eV per formula unit. Its total DFT energy (no corrections) is -69.54 eV for the cell shown. The space group is Cmcm.

Cell lengths 6.659, 6.659, 6.928 Å; angles 90.00, 90.00, 142.96 degrees
Fractional positions:
Tm 0.115 0.885 0.750
Tm 0.885 0.115 0.250
Al 0.192 0.808 0.250
Al 0.808 0.192 0.750
Si 0.500 0.500 0.000
Si 0.500 0.500 0.500
Ir 0.324 0.676 0.538
Ir 0.324 0.676 0.962
Ir 0.676 0.324 0.038
Ir 0.676 0.324 0.462

---

A plane-wave DFT calculation with PBE was carried out for a relaxed structure of UAlSi2Ir5.

Computed properties:
For the total magnetization, the calculation gives 2.3 μB per cell. The calculation puts the formation energy (no corrections) at -3.4 eV per formula unit. Its total DFT energy (no corrections) is -73.55 eV for the cell shown. The space group is P4/mmm.

Cell lengths 4.005, 4.005, 10.179 Å; angles 90.00, 90.00, 90.00 degrees
Fractional positions:
U 0.000 0.000 0.000
Al 0.000 0.000 0.500
Si 0.500 0.500 0.230
Si 0.500 0.500 0.770
Ir 0.000 0.500 0.349
Ir 0.000 0.500 0.651
Ir 0.500 0.000 0.349
Ir 0.500 0.000 0.651
Ir 0.500 0.500 0.000

---

A plane-wave DFT calculation with PBE was carried out for a relaxed structure of U2Al2Si4Ir.

Computed properties:
For the total magnetization, the calculation gives 2.5 μB per cell. The calculation puts the formation energy (no corrections) at -3.3 eV per formula unit. Its total DFT energy (no corrections) is -63.95 eV for the cell shown. The space group is I4/mmm.

Cell lengths 5.967, 5.967, 5.967 Å; angles 118.72, 118.72, 92.23 degrees
Fractional positions:
U 0.250 0.750 0.500
U 0.750 0.250 0.500
Al 0.208 0.208 0.000
Al 0.792 0.792 0.000
Si 0.220 0.220 0.441
Si 0.220 0.780 0.000
Si 0.780 0.220 0.000
Si 0.780 0.780 0.559
Ir 0.500 0.500 0.000

---

A plane-wave DFT calculation with PBE was carried out for a relaxed structure of U2AlSi2Ir5.

Computed properties:
For the total magnetization, the calculation gives 8.6 μB per cell. The calculation puts the formation energy (no corrections) at -5.3 eV per formula unit. Its total DFT energy (no corrections) is -173.46 eV for the cell shown. The space group is P4/mbm.

Cell lengths 9.592, 9.592, 3.619 Å; angles 90.00, 90.00, 90.00 degrees
Fractional positions:
U 0.179 0.321 0.000
U 0.321 0.821 0.000
U 0.679 0.179 0.000
U 0.821 0.679 0.000
Al 0.000 0.000 0.000
Al 0.500 0.500 0.000
Si 0.122 0.622 0.000
Si 0.378 0.122 0.000
Si 0.622 0.878 0.000
Si 0.878 0.378 0.000
Ir 0.000 0.500 0.500
Ir 0.066 0.791 0.500
Ir 0.209 0.066 0.500
Ir 0.291 0.566 0.500
Ir 0.434 0.291 0.500
Ir 0.500 0.000 0.500
Ir 0.566 0.709 0.500
Ir 0.709 0.434 0.500
Ir 0.791 0.934 0.500
Ir 0.934 0.209 0.500

---

A plane-wave DFT calculation with PBE was carried out for a relaxed structure of AlVSiIr2.

Computed properties:
For the total magnetization, the calculation gives 0.0 μB per cell. The calculation puts the formation energy (no corrections) at 5.4 eV per formula unit. Its total DFT energy (no corrections) is -30.62 eV for the cell shown. The space group is P4/mmm.

Cell lengths 4.525, 4.525, 4.615 Å; angles 90.00, 90.00, 90.00 degrees
Fractional positions:
Al 0.000 0.000 0.000
V 0.000 0.000 0.500
Si 0.500 0.500 0.000
Ir 0.000 0.500 0.500
Ir 0.500 0.000 0.500

---

A plane-wave DFT calculation with PBE was carried out for a relaxed structure of Y2AlSi4Ir3.

Computed properties:
For the total magnetization, the calculation gives 0.0 μB per cell. The calculation puts the formation energy (no corrections) at -9.2 eV per formula unit. Its total DFT energy (no corrections) is -74.19 eV for the cell shown. The space group is P-4m2.

Cell lengths 4.076, 4.076, 10.283 Å; angles 90.00, 90.00, 90.00 degrees
Fractional positions:
Y 0.000 0.500 0.244
Y 0.500 0.000 0.756
Al 0.000 0.000 0.500
Si 0.000 0.000 0.000
Si 0.000 0.500 0.645
Si 0.500 0.000 0.355
Si 0.500 0.500 0.000
Ir 0.000 0.500 0.875
Ir 0.500 0.000 0.125
Ir 0.500 0.500 0.500

---

A plane-wave DFT calculation with PBE was carried out for a relaxed structure of Y2AlSi2Ir5.

Computed properties:
For the total magnetization, the calculation gives 0.0 μB per cell. The calculation puts the formation energy (no corrections) at -8.8 eV per formula unit. Its total DFT energy (no corrections) is -161.33 eV for the cell shown. The space group is P4/mbm.

Cell lengths 9.672, 9.672, 3.508 Å; angles 90.00, 90.00, 90.00 degrees
Fractional positions:
Y 0.175 0.325 0.000
Y 0.325 0.825 0.000
Y 0.675 0.175 0.000
Y 0.825 0.675 0.000
Al 0.000 0.000 0.000
Al 0.500 0.500 0.000
Si 0.125 0.625 0.000
Si 0.375 0.125 0.000
Si 0.625 0.875 0.000
Si 0.875 0.375 0.000
Ir 0.000 0.500 0.500
Ir 0.067 0.791 0.500
Ir 0.209 0.067 0.500
Ir 0.291 0.567 0.500
Ir 0.433 0.291 0.500
Ir 0.500 0.000 0.500
Ir 0.567 0.709 0.500
Ir 0.709 0.433 0.500
Ir 0.791 0.933 0.500
Ir 0.933 0.209 0.500